## Hf2GeAuO (PBE)

Data for an optimized crystal structure of Hf2GeAuO.

Properties
The calculation puts the theoretical density at 12222 kg/m³. The formation energy (no corrections) is -0.73 eV per atom. The space group is No. 123. The calculation puts the density of states at the Fermi level at 2.71 states/eV/cell.

a = 4.257 Å, b = 4.257 Å, c = 4.817 Å
α = 90.00°, β = 90.00°, γ = 90.00°
Element x y z (fractional)
Hf (0.000, 0.500, 0.000)
Hf (0.500, 0.000, 0.000)
Ge (0.000, 0.000, 0.500)
Au (0.500, 0.500, 0.500)
O (0.500, 0.500, 0.000)